Computed, not measured: a relaxed Ba3Ta5N12 crystal at the PBE level of DFT.

Calculated values
SG = Ia-3d, No. 230
E = -177.1 eV per formula unit
DOS(E_F) = 0.5315 states/eV/atom

```
80
Lattice="-6.8930 6.8930 6.8930 6.8930 -6.8930 6.8930 6.8930 6.8930 -6.8930" Properties=species:S:1:pos:R:3 pbc="T T T"
Ba 3.4465 1.7232 0.0000
Ba 6.8930 3.4465 -1.7232
Ba 1.7232 0.0000 3.4465
Ba 8.6162 0.0000 3.4465
Ba 0.0000 3.4465 1.7232
Ba 3.4465 -1.7232 6.8930
Ba 3.4465 8.6162 0.0000
Ba 6.8930 3.4465 5.1697
Ba -1.7232 6.8930 3.4465
Ba 5.1697 6.8930 3.4465
Ba 0.0000 3.4465 8.6162
Ba 3.4465 5.1697 6.8930
Ta 0.0000 0.0000 0.0000
Ta 3.4465 3.4465 -3.4465
Ta 3.4465 -3.4465 3.4465
Ta 6.8930 0.0000 0.0000
Ta 10.3394 1.7232 0.0000
Ta 6.8930 -3.4465 5.1697
Ta 5.1697 6.8930 -3.4465
Ta 5.1697 0.0000 3.4465
Ta 3.4465 5.1697 0.0000
Ta 6.8930 3.4465 1.7232
Ta -3.4465 3.4465 3.4465
Ta 0.0000 6.8930 0.0000
Ta 0.0000 0.0000 6.8930
Ta 3.4465 3.4465 3.4465
Ta 0.0000 3.4465 5.1697
Ta 3.4465 1.7232 6.8930
Ta 1.7232 6.8930 3.4465
Ta 1.7232 0.0000 10.3394
Ta 0.0000 10.3394 1.7232
Ta -3.4465 5.1697 6.8930
N 5.4215 -3.9533 3.9800
N 11.8109 0.5335 -0.5069
N 8.8680 0.5335 0.5069
N 8.3644 -2.9396 3.9800
N 9.8326 2.9130 -1.4715
N 7.3998 -4.9179 6.3595
N 3.9800 5.4215 -3.9533
N 6.3595 -0.5069 1.9750
N 6.3595 7.3998 -4.9179
N 3.9800 -1.4715 3.9533
N 3.9533 3.9800 -1.4715
N 6.3861 1.9750 0.5335
N 10.8463 2.9130 1.4715
N 6.3861 -1.9750 6.3595
N 6.3595 6.3861 -1.9750
N 3.9800 1.4715 2.9396
N 3.9800 8.3644 -2.9396
N 6.3595 0.5069 4.9179
N 2.9396 3.9800 1.4715
N 7.3998 4.9179 0.5335
N 1.9750 6.3595 -0.5069
N 8.3644 2.9396 2.9130
N 4.9179 6.3595 0.5069
N 5.4215 3.9533 2.9130
N 1.4715 2.9396 3.9800
N 1.9750 0.5335 6.3861
N -1.4715 3.9533 3.9800
N 4.9179 0.5335 7.3998
N -0.5069 1.9750 6.3595
N 3.9533 2.9130 5.4215
N 0.5335 6.3861 1.9750
N 2.9130 -1.4715 9.8326
N 2.9130 5.4215 3.9533
N 0.5335 0.5069 8.8680
N 0.5069 8.8680 0.5335
N -3.9533 3.9800 5.4215
N 0.5069 4.9179 6.3595
N 2.9396 2.9130 8.3644
N 2.9130 8.3644 2.9396
N 0.5335 -0.5069 11.8109
N 0.5335 7.3998 4.9179
N 2.9130 1.4715 10.8463
N -0.5069 11.8109 0.5335
N -2.9396 3.9800 8.3644
N -1.4715 9.8326 2.9130
N -1.9750 6.3595 6.3861
N -4.9179 6.3595 7.3998
N 1.4715 10.8463 2.9130
```